PBE HgRu2Br, optimized geometry; spin magnetization = 0.00 μB per cell; energy above the most stable polymorph in this dataset = 0.4605 eV per atom; space group = No. 47; raw formation energy = 3.33 eV/f.u.
1.0
-0.019 2.765 -2.933
-2.436 1.443 1.376
3.638 3.248 3.038
Br Ru Hg
1 2 1
Cartesian
0.291 2.555 -0.363
2.938 3.527 3.305
1.301 2.067 1.940
0.892 4.900 1.843

=====

PBE Hg2RuBr, optimized geometry; spin magnetization = 0.00 μB per cell; energy above the most stable polymorph in this dataset = 0.1551 eV per atom; space group = No. 35; raw formation energy = 1.74 eV/f.u.
1.0
-1.315 2.418 -1.747
0.390 -3.008 -1.195
-9.488 -2.625 3.510
Br Hg Ru
1 2 1
Cartesian
-6.984 -2.099 0.942
-0.148 -0.041 0.055
-3.201 -1.053 -0.458
-4.825 -1.335 1.785

=====

PBE Hg2RuBr, optimized geometry; spin magnetization = 0.15 μB per cell; energy above the most stable polymorph in this dataset = 0.3834 eV per atom; space group = No. 10; raw formation energy = 2.66 eV/f.u.
1.0
3.342 0.000 0.000
0.000 4.856 0.005
0.000 3.287 5.086
Hg Ru Br
2 1 1
Cartesian
1.671 2.428 0.003
0.000 0.000 0.000
1.671 4.071 2.546
0.000 1.643 2.543

=====

PBE Hg2RuBr, optimized geometry; spin magnetization = 0.37 μB per cell; energy above the most stable polymorph in this dataset = 0.1628 eV per atom; space group = No. 71; raw formation energy = 1.78 eV/f.u.
1.0
-5.069 3.110 4.271
-5.804 0.190 4.459
1.507 -0.112 4.141
Br Hg Ru
1 2 1
Cartesian
-7.025 2.391 9.653
-5.512 1.823 6.745
-10.045 3.072 8.421
-2.342 0.797 3.218

=====

PBE HgRu2Br, optimized geometry; spin magnetization = 0.00 μB per cell; energy above the most stable polymorph in this dataset = 0.0415 eV per atom; space group = No. 99; raw formation energy = 1.66 eV/f.u.
1.0
-0.877 -2.742 0.781
2.782 -0.644 0.863
-1.801 2.832 7.915
Br Ru Hg
1 2 1
Cartesian
-0.784 1.233 3.446
-0.073 0.114 0.319
0.554 -1.067 2.572
-0.495 0.582 7.181

=====

PBE Hg4RuBr, optimized geometry; spin magnetization = 2.82 μB per cell; space group = No. 216; raw formation energy = 4.29 eV/f.u.
1.0
0.000 4.230 4.230
4.230 0.000 4.230
4.230 4.230 0.000
Hg Ru Br
4 1 1
Cartesian
3.177 5.284 5.284
3.177 3.177 3.177
5.284 3.177 5.284
5.284 5.284 3.177
6.345 6.345 6.345
0.000 0.000 0.000

=====

PBE HgRuBr, optimized geometry; spin magnetization = 2.22 μB per cell; energy above the most stable polymorph in this dataset = 0.1260 eV per atom; space group = No. 107; raw formation energy = 1.81 eV/f.u.
1.0
6.796 -0.004 0.000
5.265 4.298 0.000
-6.031 -2.147 2.283
Hg Ru Br
1 1 1
Cartesian
3.629 1.292 0.000
7.990 2.844 0.000
0.443 0.158 0.000

=====

PBE Hg2RuBr, optimized geometry; spin magnetization = 1.13 μB per cell; energy above the most stable polymorph in this dataset = 0.2004 eV per atom; space group = No. 65; raw formation energy = 1.93 eV/f.u.
1.0
-0.164 2.798 -1.684
-3.187 0.243 0.692
1.794 4.191 6.788
Br Hg Ru
1 2 1
Cartesian
-0.329 4.664 4.595
0.073 0.172 0.278
0.824 1.924 3.116
-1.227 2.568 1.201